The following is a DFT calculation (PBE) of an optimized crystal structure of Ta2VCo.

* E: -9.5178 eV per atom
* energy of formation: 0.46 eV/atom
* Fermi-level density of states: 19.45 states/eV/cell
* theoretical density: 12164 kg/m³

Lattice parameters (Å, degrees): 6.9310 6.9310 5.3624 90.00 90.00 90.00
Space group I-42d (No. 122)
Inequivalent atoms, fractional coordinates:
Ta 0.2256 0.2500 0.1250
V 0.0000 0.0000 0.5000
Co 0.0000 0.0000 0.0000

***

The following is a DFT calculation (PBE) of an optimized crystal structure of Ta3VCo.

* E: -9.4726 eV per atom
* energy of formation: 0.88 eV/atom
* offset from the most stable computed form: 0.000 eV per atom
* Fermi-level density of states: 5.14 states/eV/cell
* theoretical density: 11335 kg/m³

Lattice parameters (Å, degrees): 4.5728 4.5728 4.5728 90.00 90.00 90.00
Space group Pm-3m (No. 221)
Inequivalent atoms, fractional coordinates:
Ta 0.0000 0.0000 0.5000
V 0.5000 0.5000 0.5000
Co 0.0000 0.0000 0.0000

***

The following is a DFT calculation (PBE) of an optimized crystal structure of Ta2VCo2.

* E: -9.4603 eV per atom
* energy of formation: -0.05 eV/atom
* Fermi-level density of states: 12.70 states/eV/cell
* theoretical density: 12168 kg/m³

Lattice parameters (Å, degrees): 6.8328 6.8328 3.1025 90.00 90.00 90.00
Space group P4/mbm (No. 127)
Inequivalent atoms, fractional coordinates:
Ta 0.1753 0.3247 0.0000
V 0.0000 0.0000 0.5000
Co 0.1260 0.6260 0.5000

***

The following is a DFT calculation (PBE) of an optimized crystal structure of TaVCo4.

* E: -8.3611 eV per atom
* energy of formation: -0.13 eV/atom
* offset from the most stable computed form: 0.000 eV per atom
* Fermi-level density of states: 37.37 states/eV/cell
* theoretical density: 10683 kg/m³

Lattice parameters (Å, degrees): 6.6248 6.6248 6.6248 90.00 90.00 90.00
Space group F-43m (No. 216)
Inequivalent atoms, fractional coordinates:
Ta 0.0000 0.0000 0.0000
V 0.2500 0.2500 0.7500
Co 0.1245 0.1245 0.3755

***

The following is a DFT calculation (PBE) of an optimized crystal structure of TaV2CoW.

* E: -9.1750 eV per atom
* energy of formation: 0.85 eV/atom
* Fermi-level density of states: 7.14 states/eV/cell
* theoretical density: 10645 kg/m³

Lattice parameters (Å, degrees): 4.1853 4.1853 4.6808 90.00 90.00 90.00
Space group P4/mmm (No. 123)
Inequivalent atoms, fractional coordinates:
Ta 0.0000 0.0000 0.0000
V 0.0000 0.5000 0.5000
Co 0.5000 0.5000 0.5000
W 0.5000 0.5000 0.0000

***

The following is a DFT calculation (PBE) of an optimized crystal structure of TaV2ZnCo.

* E: -5.8891 eV per atom
* energy of formation: 1.80 eV/atom
* Fermi-level density of states: 7.69 states/eV/cell
* theoretical density: 6819 kg/m³

Lattice parameters (Å, degrees): 4.5085 4.5085 4.8778 90.00 90.00 90.00
Space group P4/mmm (No. 123)
Inequivalent atoms, fractional coordinates:
Ta 0.0000 0.0000 0.0000
V 0.0000 0.5000 0.0000
Zn 0.0000 0.0000 0.5000
Co 0.5000 0.5000 0.5000